The following is a DFT calculation (GGA-PBE) of a relaxed Nd3In3AgPt2 crystal.

Crystal system   hexagonal

Unit cell a=7.8474 b=7.8474 c=4.0489 alpha=90.00 beta=90.00 gamma=120.00
Atoms (fractional coordinates):
Pt (0.6667, 0.3333, 0.0000)
Pt (0.3333, 0.6667, 0.0000)
Nd (0.5840, 0.0000, 0.5000)
Nd (0.0000, 0.5840, 0.5000)
Nd (0.4160, 0.4159, 0.5000)
Ag (0.0000, 0.0000, 0.5000)
In (0.7405, 0.7405, 0.0000)
In (0.0000, 0.2595, 0.0000)
In (0.2595, 0.0000, 0.0000)

The following is a DFT calculation (GGA-PBE) of a relaxed Tb2NdIn3Ag2Pt crystal.

Crystal system   orthorhombic

Unit cell a=4.0419 b=7.7946 c=7.7946 alpha=120.14 beta=90.00 gamma=90.00
Atoms (fractional coordinates):
In (0.5000, 0.0010, 0.7455)
In (0.5000, 0.2550, 0.2550)
In (0.5000, 0.7455, 0.0010)
Pt (0.0000, 0.0047, 0.0047)
Ag (0.5000, 0.6687, 0.3295)
Ag (0.5000, 0.3295, 0.6687)
Nd (0.0000, 0.5992, 0.5992)
Tb (0.0000, 0.3968, 0.9996)
Tb (0.0000, 0.9996, 0.3968)

no.,VASP energy (eV per atom)
1,-4.955
2,-4.364